#one
TcRu2: relaxed, PBEsol.

abc: 4.0228 4.0228 2.9822
angles: 90.00 90.00 90.00
Positions (direct):
1 Tc 0.0000 0.0000 0.0000
2 Ru 0.0000 0.5000 0.5000
3 Ru 0.5000 0.0000 0.5000

Results
SG: P4/mmm
Size of the total moment (μB per cell): 0.00
Density (g/cm3): 10.33
Volume (A^3/atom): 16.09
Crystal system: tetragonal
N(E_F) (states/eV per cell): 3.596

***

#two
TcRu2: relaxed, PBEsol.

abc: 7.1478 7.1478 4.2661
angles: 90.00 90.00 158.24
Positions (direct):
1 Tc 0.1116 0.8884 0.7500
2 Tc 0.8884 0.1116 0.2500
3 Ru 0.2221 0.7779 0.2500
4 Ru 0.4437 0.5563 0.7500
5 Ru 0.5563 0.4437 0.2500
6 Ru 0.7779 0.2221 0.7500

Results
SG: Cmcm
Size of the total moment (μB per cell): 0.00
Density (g/cm3): 12.34
Volume (A^3/atom): 13.46
Crystal system: orthorhombic
N(E_F) (states/eV per cell): 5.061

***

#two is favored, and the nearest alternative lies 1105 meV per atom above it.

***

#one
TcRu2: relaxed, PBEsol.

abc: 5.0452 5.0452 6.3324
angles: 103.10 103.10 31.06
Positions (direct):
1 Tc 0.1936 0.1936 0.1394
2 Tc 0.8064 0.8064 0.8606
3 Ru 0.1391 0.1391 0.5283
4 Ru 0.4719 0.4719 0.1948
5 Ru 0.5281 0.5281 0.8052
6 Ru 0.8609 0.8609 0.4717

Results
SG: C2/m
Size of the total moment (μB per cell): 0.00
Density (g/cm3): 12.33
Volume (A^3/atom): 13.47
Crystal system: monoclinic
N(E_F) (states/eV per cell): 4.861

***

#two
TcRu2: relaxed, PBEsol.

abc: 2.6722 2.6722 6.5660
angles: 90.00 90.00 120.00
Positions (direct):
1 Tc 0.0000 0.0000 0.0000
2 Ru 0.3333 0.6667 0.6684
3 Ru 0.6667 0.3333 0.3316

Results
SG: P-3m1
Size of the total moment (μB per cell): 0.00
Density (g/cm3): 12.27
Volume (A^3/atom): 13.53
Crystal system: trigonal
N(E_F) (states/eV per cell): 3.247

***

#one is favored, and the nearest alternative lies 132 meV per atom above it.

***

#one
Tc2Ru: relaxed, PBEsol.

abc: 5.0929 5.0929 6.3755
angles: 103.14 103.14 30.75
Positions (direct):
1 Tc 0.1368 0.1368 0.0260
2 Tc 0.1928 0.1928 0.6399
3 Tc 0.8072 0.8072 0.3601
4 Tc 0.8632 0.8632 0.9740
5 Ru 0.4717 0.4717 0.6945
6 Ru 0.5283 0.5283 0.3055

Results
SG: C2/m
Size of the total moment (μB per cell): 0.00
Density (g/cm3): 12.01
Volume (A^3/atom): 13.70
Crystal system: monoclinic
N(E_F) (states/eV per cell): 5.294

***

#two
Tc2Ru: relaxed, PBEsol.

abc: 7.1966 7.1966 4.2970
angles: 90.00 90.00 158.31
Positions (direct):
1 Tc 0.0554 0.9446 0.7500
2 Tc 0.3870 0.6130 0.7500
3 Tc 0.6130 0.3870 0.2500
4 Tc 0.9446 0.0554 0.2500
5 Ru 0.2771 0.7229 0.2500
6 Ru 0.7229 0.2771 0.7500

Results
SG: Cmcm
Size of the total moment (μB per cell): 0.00
Density (g/cm3): 12.00
Volume (A^3/atom): 13.71
Crystal system: orthorhombic
N(E_F) (states/eV per cell): 5.723

***

#one is favored, and the nearest alternative lies 20 meV per atom above it.

***

#one
TcRu2W: relaxed, PBEsol.

abc: 2.7210 3.8020 5.4432
angles: 90.00 90.00 90.00
Positions (direct):
1 Tc 0.0000 0.0000 0.0000
2 Ru 0.5000 0.5000 0.2434
3 Ru 0.5000 0.5000 0.7566
4 W 0.0000 0.0000 0.5000

Results
SG: Pmmm
Size of the total moment (μB per cell): 0.00
Density (g/cm3): 14.27
Volume (A^3/atom): 14.08
Crystal system: orthorhombic
N(E_F) (states/eV per cell): 3.651

***

#two
TcRu2W: relaxed, PBEsol.

abc: 4.7144 4.7144 4.7144
angles: 132.22 132.22 69.88
Positions (direct):
1 Tc 0.0000 0.0000 0.0000
2 Ru 0.2500 0.7500 0.5000
3 Ru 0.5000 0.5000 0.0000
4 W 0.7500 0.2500 0.5000

Results
SG: I-4m2
Size of the total moment (μB per cell): 0.00
Density (g/cm3): 14.26
Volume (A^3/atom): 14.09
Crystal system: tetragonal
N(E_F) (states/eV per cell): 3.655

***

#one is favored, and the nearest alternative lies 19 meV per atom above it.

***

#one
TcRu2W: relaxed, PBEsol.

abc: 4.6811 4.6811 2.7201
angles: 90.00 90.00 109.17
Positions (direct):
1 Tc 0.0000 0.0000 0.0000
2 Ru 0.0000 0.5000 0.5000
3 Ru 0.5000 0.0000 0.5000
4 W 0.5000 0.5000 0.0000

Results
SG: Cmmm
Size of the total moment (μB per cell): 0.00
Density (g/cm3): 14.27
Volume (A^3/atom): 14.07
Crystal system: orthorhombic
N(E_F) (states/eV per cell): 4.175

***

#two
TcRu2W: relaxed, PBEsol.

abc: 2.7068 2.7068 7.7171
angles: 90.00 90.00 90.00
Positions (direct):
1 Tc 0.0000 0.0000 0.0000
2 Ru 0.0000 0.0000 0.5179
3 Ru 0.5000 0.5000 0.7648
4 W 0.5000 0.5000 0.2682

Results
SG: P4mm
Size of the total moment (μB per cell): 0.00
Density (g/cm3): 14.21
Volume (A^3/atom): 14.14
Crystal system: tetragonal
N(E_F) (states/eV per cell): 4.261

***

#one is favored, and the nearest alternative lies 80 meV per atom above it.

***

#one
TcRu2W: relaxed, PBEsol.

abc: 3.8359 3.8359 3.8230
angles: 90.00 90.00 90.00
Positions (direct):
1 Tc 0.0000 0.0000 0.0000
2 Ru 0.0000 0.5000 0.5000
3 Ru 0.5000 0.0000 0.5000
4 W 0.5000 0.5000 0.0000

Results
SG: P4/mmm
Size of the total moment (μB per cell): 0.00
Density (g/cm3): 14.29
Volume (A^3/atom): 14.06
Crystal system: tetragonal
N(E_F) (states/eV per cell): 4.243

***

#two
TcRu2W: relaxed, PBEsol.

abc: 4.6850 4.6850 4.6850
angles: 131.63 131.63 70.81
Positions (direct):
1 Tc 0.0000 0.0000 0.0000
2 Ru 0.2500 0.7500 0.5000
3 Ru 0.7500 0.2500 0.5000
4 W 0.5000 0.5000 0.0000

Results
SG: I4/mmm
Size of the total moment (μB per cell): 0.00
Density (g/cm3): 14.28
Volume (A^3/atom): 14.07
Crystal system: tetragonal
N(E_F) (states/eV per cell): 4.138

***

#one is favored, and the nearest alternative lies 11 meV per atom above it.

***

#one
TcRuW2: relaxed, PBEsol.

abc: 3.0989 3.0989 6.2328
angles: 90.00 90.00 90.00
Positions (direct):
1 Tc 0.0000 0.0000 0.0000
2 Ru 0.5000 0.5000 0.7114
3 W 0.0000 0.0000 0.4863
4 W 0.5000 0.5000 0.2221

Results
SG: P4mm
Size of the total moment (μB per cell): 0.00
Density (g/cm3): 15.72
Volume (A^3/atom): 14.96
Crystal system: tetragonal
N(E_F) (states/eV per cell): 3.894

***

#two
TcRuW2: relaxed, PBEsol.

abc: 5.0857 5.0857 5.0857
angles: 144.58 128.22 64.30
Positions (direct):
1 Tc 0.0000 0.0000 0.0000
2 Ru 0.5000 0.5000 0.0000
3 W 0.2422 0.7422 0.5000
4 W 0.7578 0.2578 0.5000

Results
SG: Immm
Size of the total moment (μB per cell): 0.00
Density (g/cm3): 15.91
Volume (A^3/atom): 14.79
Crystal system: orthorhombic
N(E_F) (states/eV per cell): 3.870

***

#three
TcRuW2: relaxed, PBEsol.

abc: 9.1005 9.1005 9.1005
angles: 17.44 17.44 17.44
Positions (direct):
1 Tc 0.0000 0.0000 0.0000
2 Ru 0.5000 0.5000 0.5000
3 W 0.2492 0.2492 0.2492
4 W 0.7508 0.7508 0.7508

Results
SG: R-3m
Size of the total moment (μB per cell): 0.00
Density (g/cm3): 15.92
Volume (A^3/atom): 14.78
Crystal system: trigonal
N(E_F) (states/eV per cell): 4.586

***

#four
TcRuW2: relaxed, PBEsol.

abc: 4.7195 4.7195 4.7195
angles: 130.75 130.75 72.22
Positions (direct):
1 Tc 0.0000 0.0000 0.0000
2 Ru 0.5000 0.5000 0.0000
3 W 0.2500 0.7500 0.5000
4 W 0.7500 0.2500 0.5000

Results
SG: I4/mmm
Size of the total moment (μB per cell): 0.00
Density (g/cm3): 15.95
Volume (A^3/atom): 14.75
Crystal system: tetragonal
N(E_F) (states/eV per cell): 4.143

***

#four is favored, and the nearest alternative lies 40 meV per atom above it.

***

#one
TcRuW: relaxed, PBEsol.

abc: 5.0494 5.0494 5.0494
angles: 144.09 144.09 51.70
Positions (direct):
1 Tc 0.0000 0.0000 0.0000
2 Ru 0.3140 0.3140 0.0000
3 W 0.6497 0.6497 0.0000

Results
SG: I4mm
Size of the total moment (μB per cell): 0.00
Density (g/cm3): 14.43
Volume (A^3/atom): 14.68
Crystal system: tetragonal
N(E_F) (states/eV per cell): 3.694

***

#two
TcRuW: relaxed, PBEsol.

abc: 4.1519 4.1519 4.1519
angles: 60.00 60.00 60.00
Positions (direct):
1 Tc 0.0000 0.0000 0.0000
2 Ru 0.2500 0.2500 0.2500
3 W 0.7500 0.7500 0.7500

Results
SG: F-43m
Size of the total moment (μB per cell): 0.00
Density (g/cm3): 12.56
Volume (A^3/atom): 16.87
Crystal system: cubic
N(E_F) (states/eV per cell): 3.263

***

#one is favored, and the nearest alternative lies 581 meV per atom above it.

***

#one
TlTe2Ru: relaxed, PBEsol.

abc: 3.8859 6.2299 6.2299
angles: 45.75 90.00 90.00
Positions (direct):
1 Tl 0.0000 0.0000 0.0000
2 Te 0.0000 0.3296 0.3296
3 Te 0.5000 0.6134 0.6134
4 Ru 0.5000 0.1891 0.1891

Results
SG: Amm2
Size of the total moment (μB per cell): 0.00
Density (g/cm3): 8.62
Volume (A^3/atom): 27.01
Crystal system: orthorhombic
N(E_F) (states/eV per cell): 2.321

***

#two
TlTe2Ru: relaxed, PBEsol.

abc: 5.5524 5.5524 6.0710
angles: 112.20 112.20 34.22
Positions (direct):
1 Tl 0.0000 0.0000 0.0000
2 Te 0.6430 0.6430 0.6378
3 Te 0.8376 0.8376 0.3700
4 Ru 0.2688 0.2688 0.0029

Results
SG: Cm
Size of the total moment (μB per cell): 0.00
Density (g/cm3): 9.63
Volume (A^3/atom): 24.17
Crystal system: monoclinic
N(E_F) (states/eV per cell): 2.687

***

#one is favored, and the nearest alternative lies 8 meV per atom above it.

***

#one
TlTe2Ru: relaxed, PBEsol.

abc: 3.1711 3.1711 9.5237
angles: 90.00 90.00 90.00
Positions (direct):
1 Tl 0.0000 0.0000 0.0000
2 Te 0.0000 0.0000 0.3748
3 Te 0.5000 0.5000 0.7112
4 Ru 0.5000 0.5000 0.2286

Results
SG: P4mm
Size of the total moment (μB per cell): 0.00
Density (g/cm3): 9.72
Volume (A^3/atom): 23.94
Crystal system: tetragonal
N(E_F) (states/eV per cell): 1.392

***

#two
TlTe2Ru: relaxed, PBEsol.

abc: 3.2267 3.2680 8.8698
angles: 90.00 90.00 90.00
Positions (direct):
1 Tl 0.0000 0.0000 0.0000
2 Te 0.5000 0.5000 0.3172
3 Te 0.5000 0.5000 0.6828
4 Ru 0.0000 0.0000 0.5000

Results
SG: Pmmm
Size of the total moment (μB per cell): 0.03
Density (g/cm3): 9.95
Volume (A^3/atom): 23.38
Crystal system: orthorhombic
N(E_F) (states/eV per cell): 3.847

***

#two is favored, and the nearest alternative lies 29 meV per atom above it.

***

#one
Tl2TeRu: relaxed, PBEsol.

abc: 7.5251 7.5251 7.5251
angles: 155.58 146.47 41.92
Positions (direct):
1 Tl 0.1799 0.1799 0.0000
2 Tl 0.8201 0.8201 0.0000
3 Te 0.5000 0.0000 0.5000
4 Ru 0.0000 0.5000 0.5000

Results
SG: Immm
Size of the total moment (μB per cell): 0.00
Density (g/cm3): 10.90
Volume (A^3/atom): 24.28
Crystal system: orthorhombic
N(E_F) (states/eV per cell): 3.472

***

#two
Tl2TeRu: relaxed, PBEsol.

abc: 6.0615 6.0615 3.5845
angles: 105.90 105.90 123.42
Positions (direct):
1 Tl 0.0000 0.5000 0.0000
2 Tl 0.5000 0.0000 0.0000
3 Te 0.0000 0.0000 0.5000
4 Ru 0.5000 0.5000 0.5000

Results
SG: C2/m
Size of the total moment (μB per cell): 0.00
Density (g/cm3): 11.80
Volume (A^3/atom): 22.43
Crystal system: monoclinic
N(E_F) (states/eV per cell): 3.428

***

#one is favored, and the nearest alternative lies 324 meV per atom above it.

***

#one
ZnTeRu2: relaxed, PBEsol.

abc: 5.3683 5.3683 5.3683
angles: 146.26 133.33 58.82
Positions (direct):
1 Zn 0.0000 0.0000 0.0000
2 Te 0.7343 0.2343 0.5000
3 Ru 0.2436 0.7436 0.5000
4 Ru 0.5098 0.5098 0.0000

Results
SG: Imm2
Size of the total moment (μB per cell): 0.00
Density (g/cm3): 10.59
Volume (A^3/atom): 15.49
Crystal system: orthorhombic
N(E_F) (states/eV per cell): 4.098

***

#two
ZnTeRu2: relaxed, PBEsol.

abc: 4.3707 4.3707 4.3707
angles: 60.00 60.00 60.00
Positions (direct):
1 Zn 0.0000 0.0000 0.0000
2 Te 0.5000 0.5000 0.5000
3 Ru 0.2500 0.2500 0.2500
4 Ru 0.7500 0.7500 0.7500

Results
SG: Fm-3m
Size of the total moment (μB per cell): 0.00
Density (g/cm3): 11.11
Volume (A^3/atom): 14.76
Crystal system: cubic
N(E_F) (states/eV per cell): 0.787

***

#three
ZnTeRu2: relaxed, PBEsol.

abc: 2.9012 2.9012 7.9616
angles: 90.00 90.00 90.00
Positions (direct):
1 Zn 0.0000 0.0000 0.0000
2 Te 0.5000 0.5000 0.6617
3 Ru 0.0000 0.0000 0.4049
4 Ru 0.5000 0.5000 0.2073

Results
SG: P4mm
Size of the total moment (μB per cell): 0.00
Density (g/cm3): 9.79
Volume (A^3/atom): 16.75
Crystal system: tetragonal
N(E_F) (states/eV per cell): 4.105

***

#two is favored, and the nearest alternative lies 233 meV per atom above it.